Compound: Cr2CoAg
Source: Alexandria via LeMat-Bulk
Functional: PBE-GGA
Structure: optimized geometry

DFT formation energy ... 492 meV per atom
Final energy ... -27.24 eV per cell
Crystal system ... monoclinic
N(E_F) ... 4.198 states/eV/f.u.
Magnetization ... 0.31 μB per formula unit

Unit cell a=4.567 b=4.567 c=4.668 alpha=76.17 beta=76.17 gamma=35.27
Last column: magnetic moment on the atom in μB.
Element x y z (fractional)
Ag1 0.497 0.497 0.505  0.01
Cr1 0.267 0.267 0.213  2.37
Co1 0.733 0.733 0.789  -0.21
Cr2 0.002 0.002 0.993  -1.93

Compound: Zr2AgSb
Source: Alexandria via LeMat-Bulk
Functional: PBE-GGA
Structure: optimized geometry

Final energy ... -24.52 eV per cell
Crystal system ... orthorhombic
N(E_F) ... 2.641 states/eV/f.u.
Magnetization ... 0.00 μB per formula unit

Unit cell a=3.140 b=3.140 c=9.321 alpha=90.00 beta=90.00 gamma=91.71
Element x y z (fractional)
Zr1 0.000 0.000 0.008
Sb1 0.500 0.500 0.756
Zr2 0.500 0.500 0.252
Ag1 0.000 0.000 0.484